P:
VASP calculation (PBE) on an optimized crystal structure of Dy5Ho4Tm3.

Unit cell a=8.4894 b=8.4894 c=9.1712 alpha=115.05 beta=115.05 gamma=39.97
Fractional positions:
Dy: 0.0000 0.0000 0.0000
Dy: 0.3267 0.3267 0.6149
Dy: 0.4257 0.4257 0.2976
Dy: 0.5743 0.5743 0.7024
Dy: 0.6733 0.6733 0.3851
Ho: 0.0803 0.0803 0.4391
Ho: 0.2145 0.2145 0.8780
Ho: 0.7855 0.7855 0.1220
Ho: 0.9197 0.9197 0.5609
Tm: 0.2096 0.2096 0.2309
Tm: 0.5000 0.5000 0.0000
Tm: 0.7904 0.7904 0.7691

Computed properties:
N(E_F), states/eV per atom: 1.63
Crystal system: monoclinic

Q:
VASP calculation (PBE) on an optimized crystal structure of Dy5Ho4Tm3.

Unit cell a=6.0852 b=7.0332 c=8.6009 alpha=89.99 beta=89.91 gamma=89.88
Fractional positions:
Dy: 0.0000 0.0000 0.0000
Dy: 0.3327 0.4999 0.6663
Dy: 0.4994 0.7499 0.0000
Dy: 0.5006 0.2501 0.0000
Dy: 0.6673 0.5001 0.3337
Ho: 0.1663 0.2503 0.3334
Ho: 0.3337 0.9999 0.6663
Ho: 0.6663 0.0001 0.3337
Ho: 0.8337 0.7497 0.6666
Tm: 0.0000 0.5000 0.0000
Tm: 0.1668 0.7501 0.3334
Tm: 0.8332 0.2499 0.6666

Computed properties:
N(E_F), states/eV per atom: 1.29
Crystal system: triclinic

Which structure is the most stable? The one labeled Q.

P:
VASP calculation (PBE) on an optimized crystal structure of Dy8HoTm6.

Unit cell a=8.5286 b=8.5286 c=8.5286 alpha=63.07 beta=63.07 gamma=63.07
Fractional positions:
Dy: 0.0768 0.0768 0.0768
Dy: 0.2202 0.2448 0.6100
Dy: 0.2448 0.6100 0.2202
Dy: 0.3900 0.7798 0.7552
Dy: 0.6100 0.2202 0.2448
Dy: 0.7552 0.3900 0.7798
Dy: 0.7798 0.7552 0.3900
Dy: 0.9232 0.9232 0.9232
Ho: 0.5000 0.5000 0.5000
Tm: 0.0402 0.7337 0.6065
Tm: 0.2663 0.3935 0.9598
Tm: 0.3935 0.9598 0.2663
Tm: 0.6065 0.0402 0.7337
Tm: 0.7337 0.6065 0.0402
Tm: 0.9598 0.2663 0.3935

Computed properties:
N(E_F), states/eV per atom: 1.57
Crystal system: trigonal

Q:
VASP calculation (PBE) on an optimized crystal structure of Dy8HoTm6.

Unit cell a=3.4996 b=8.5100 c=15.7545 alpha=96.81 beta=90.04 gamma=90.03
Fractional positions:
Dy: 0.9998 0.0080 0.1047
Dy: 0.9998 0.3225 0.4355
Dy: 0.9996 0.3991 0.8373
Dy: 0.0004 0.6009 0.1627
Dy: 0.0002 0.6775 0.5645
Dy: 0.0002 0.9920 0.8953
Dy: 0.4998 0.2832 0.2411
Dy: 0.5002 0.7168 0.7589
Ho: 0.5000 0.0000 0.5000
Tm: 0.0008 0.0403 0.6885
Tm: 0.5000 0.3083 0.0228
Tm: 0.4998 0.3624 0.6339
Tm: 0.5002 0.6376 0.3661
Tm: 0.5000 0.6917 0.9772
Tm: 0.9992 0.9597 0.3115

Computed properties:
N(E_F), states/eV per atom: 1.53
Crystal system: triclinic

Which structure is the most stable? The one labeled Q.

P:
VASP calculation (PBE) on an optimized crystal structure of Dy12Ho7Tm.

Unit cell a=8.6234 b=8.6234 c=8.6234 alpha=94.92 beta=94.92 gamma=94.92
Fractional positions:
Dy: 0.0203 0.3520 0.0835
Dy: 0.0835 0.0203 0.3520
Dy: 0.1873 0.3154 0.7496
Dy: 0.2504 0.8127 0.6846
Dy: 0.3154 0.7496 0.1873
Dy: 0.3520 0.0835 0.0203
Dy: 0.6480 0.9165 0.9797
Dy: 0.6846 0.2504 0.8127
Dy: 0.7496 0.1873 0.3154
Dy: 0.8127 0.6846 0.2504
Dy: 0.9165 0.9797 0.6480
Dy: 0.9797 0.6480 0.9165
Ho: 0.0000 0.0000 0.0000
Ho: 0.1478 0.4782 0.4156
Ho: 0.4156 0.1478 0.4782
Ho: 0.4782 0.4156 0.1478
Ho: 0.5218 0.5844 0.8522
Ho: 0.5844 0.8522 0.5218
Ho: 0.8522 0.5218 0.5844
Tm: 0.5000 0.5000 0.5000

Computed properties:
N(E_F), states/eV per atom: 0.90
Crystal system: trigonal

Q:
VASP calculation (PBE) on an optimized crystal structure of Dy12Ho7Tm.

Unit cell a=10.8816 b=10.8816 c=10.8816 alpha=115.98 beta=115.98 gamma=115.98
Fractional positions:
Dy: 0.0035 0.2145 0.4265
Dy: 0.2145 0.4265 0.0035
Dy: 0.2307 0.7530 0.2948
Dy: 0.2470 0.7052 0.7693
Dy: 0.2948 0.2307 0.7530
Dy: 0.4265 0.0035 0.2145
Dy: 0.5735 0.9965 0.7855
Dy: 0.7052 0.7693 0.2470
Dy: 0.7530 0.2948 0.2307
Dy: 0.7693 0.2470 0.7052
Dy: 0.7855 0.5735 0.9965
Dy: 0.9965 0.7855 0.5735
Ho: 0.0000 0.0000 0.0000
Ho: 0.1268 0.4303 0.2908
Ho: 0.2908 0.1268 0.4303
Ho: 0.4303 0.2908 0.1268
Ho: 0.5697 0.7092 0.8732
Ho: 0.7092 0.8732 0.5697
Ho: 0.8732 0.5697 0.7092
Tm: 0.5000 0.5000 0.5000

Computed properties:
N(E_F), states/eV per atom: 1.32
Crystal system: trigonal

Which structure is the most stable? The one labeled P.

P:
VASP calculation (PBE) on an optimized crystal structure of Dy2HoTm3.

Unit cell a=9.2768 b=9.2768 c=6.0621 alpha=90.07 beta=90.07 gamma=44.40
Fractional positions:
Dy: 0.0415 0.2916 0.4168
Dy: 0.2916 0.0415 0.9168
Dy: 0.7084 0.9585 0.0832
Dy: 0.9585 0.7084 0.5832
Ho: 0.3749 0.6251 0.7500
Ho: 0.6251 0.3749 0.2500
Tm: 0.1251 0.8749 0.2500
Tm: 0.2086 0.4584 0.0830
Tm: 0.4584 0.2086 0.5830
Tm: 0.5416 0.7914 0.4170
Tm: 0.7914 0.5416 0.9170
Tm: 0.8749 0.1251 0.7500

Computed properties:
N(E_F), states/eV per atom: 1.42
Crystal system: monoclinic

Q:
VASP calculation (PBE) on an optimized crystal structure of Dy2HoTm3.

Unit cell a=8.9100 b=8.9100 c=13.9472 alpha=116.96 beta=116.96 gamma=22.37
Fractional positions:
Dy: 0.1575 0.1575 0.4687
Dy: 0.3193 0.3193 0.1168
Dy: 0.6807 0.6807 0.8832
Dy: 0.8425 0.8425 0.5313
Ho: 0.0617 0.0617 0.6438
Ho: 0.9383 0.9383 0.3562
Tm: 0.0989 0.0989 0.0253
Tm: 0.2392 0.2392 0.2925
Tm: 0.4603 0.4603 0.7885
Tm: 0.5397 0.5397 0.2115
Tm: 0.7608 0.7608 0.7075
Tm: 0.9011 0.9011 0.9747

Computed properties:
N(E_F), states/eV per atom: 1.60
Crystal system: monoclinic

Which structure is the most stable? The one labeled P.

P:
VASP calculation (PBE) on an optimized crystal structure of DyHoTm3.

Unit cell a=3.5733 b=11.3785 c=8.3634 alpha=90.00 beta=102.32 gamma=90.00
Fractional positions:
Dy: 0.0115 0.2500 0.0241
Dy: 0.9885 0.7500 0.9759
Ho: 0.3150 0.7500 0.6298
Ho: 0.6850 0.2500 0.3702
Tm: 0.1543 0.9995 0.3085
Tm: 0.1543 0.5005 0.3085
Tm: 0.3451 0.2500 0.6905
Tm: 0.6549 0.7500 0.3095
Tm: 0.8457 0.0005 0.6915
Tm: 0.8457 0.4995 0.6915

Computed properties:
N(E_F), states/eV per atom: 1.71
Crystal system: monoclinic

Q:
VASP calculation (PBE) on an optimized crystal structure of DyHoTm3.

Unit cell a=6.1884 b=6.6040 c=9.0580 alpha=72.39 beta=89.99 gamma=62.10
Fractional positions:
Dy: 0.0327 0.1007 0.1500
Dy: 0.9673 0.8993 0.8500
Ho: 0.3663 0.1005 0.6499
Ho: 0.6337 0.8995 0.3501
Tm: 0.1668 0.4992 0.2503
Tm: 0.2339 0.7002 0.5493
Tm: 0.4340 0.3001 0.9496
Tm: 0.5660 0.6999 0.0504
Tm: 0.7661 0.2998 0.4507
Tm: 0.8332 0.5008 0.7497

Computed properties:
N(E_F), states/eV per atom: 1.74
Crystal system: triclinic

Which structure is the most stable? The one labeled Q.

P:
VASP calculation (PBE) on an optimized crystal structure of Dy7Ho12Tm.

Unit cell a=8.6087 b=8.6087 c=8.6087 alpha=94.98 beta=94.98 gamma=94.98
Fractional positions:
Dy: 0.0000 0.0000 0.0000
Dy: 0.1471 0.4784 0.4154
Dy: 0.4154 0.1471 0.4784
Dy: 0.4784 0.4154 0.1471
Dy: 0.5216 0.5846 0.8529
Dy: 0.5846 0.8529 0.5216
Dy: 0.8529 0.5216 0.5846
Ho: 0.0195 0.3520 0.0831
Ho: 0.0831 0.0195 0.3520
Ho: 0.1869 0.3147 0.7499
Ho: 0.2501 0.8131 0.6853
Ho: 0.3147 0.7499 0.1869
Ho: 0.3520 0.0831 0.0195
Ho: 0.6480 0.9169 0.9805
Ho: 0.6853 0.2501 0.8131
Ho: 0.7499 0.1869 0.3147
Ho: 0.8131 0.6853 0.2501
Ho: 0.9169 0.9805 0.6480
Ho: 0.9805 0.6480 0.9169
Tm: 0.5000 0.5000 0.5000

Computed properties:
N(E_F), states/eV per atom: 0.89
Crystal system: trigonal

Q:
VASP calculation (PBE) on an optimized crystal structure of Dy7Ho12Tm.

Unit cell a=10.8621 b=10.8621 c=10.8621 alpha=115.96 beta=115.96 gamma=115.96
Fractional positions:
Dy: 0.0000 0.0000 0.0000
Dy: 0.1262 0.2907 0.4304
Dy: 0.2907 0.4304 0.1261
Dy: 0.4304 0.1261 0.2907
Dy: 0.5696 0.8739 0.7093
Dy: 0.7093 0.5696 0.8739
Dy: 0.8739 0.7093 0.5696
Ho: 0.0027 0.4279 0.2148
Ho: 0.2148 0.0027 0.4279
Ho: 0.2322 0.2951 0.7536
Ho: 0.2464 0.7678 0.7049
Ho: 0.2951 0.7536 0.2322
Ho: 0.4279 0.2148 0.0027
Ho: 0.5721 0.7852 0.9973
Ho: 0.7049 0.2464 0.7678
Ho: 0.7536 0.2322 0.2951
Ho: 0.7678 0.7049 0.2464
Ho: 0.7852 0.9973 0.5721
Ho: 0.9973 0.5721 0.7852
Tm: 0.5000 0.5000 0.5000

Computed properties:
N(E_F), states/eV per atom: 1.35
Crystal system: trigonal

Which structure is the most stable? The one labeled P.